[1]
K3NiPd3O8 | Alexandria | GGA+U | optimized geometry; density = 4.9 g/cm³; SG = No. 12; final energy = -73.88 eV for the cell shown; DOS(E_F) = 0.10 states/eV per cell
1.0
5.574 -3.132 0.000
5.574 3.132 0.000
-3.616 0.000 6.007
K Ni Pd O
3 1 3 8
Cartesian
0.000 0.000 0.000 K
2.787 1.566 0.000 K
2.787 -1.566 0.000 K
-1.808 0.000 3.004 Ni
0.979 1.566 3.004 Pd
0.979 -1.566 3.004 Pd
3.766 0.000 3.004 Pd
2.800 1.538 3.990 O
0.097 0.000 4.030 O
1.752 0.000 1.921 O
4.733 1.538 2.017 O
2.800 -1.538 3.990 O
5.781 0.000 4.086 O
7.435 0.000 1.977 O
4.733 -1.538 2.017 O

[2]
K3Pm2NiO6 | Alexandria | GGA+U | optimized geometry; density = 4.8 g/cm³; SG = No. 12; final energy = -68.73 eV for the cell shown
1.0
2.977 -5.184 0.000
2.977 5.184 0.000
-1.962 0.000 6.239
K Pm Ni O
3 2 1 6
Cartesian
0.000 0.000 0.000 K
2.977 1.660 0.000 K
2.977 -1.660 0.000 K
1.996 3.442 3.120 Pm
1.996 -3.442 3.120 Pm
1.996 0.000 3.120 Ni
1.068 1.614 1.936 O
0.224 0.000 4.232 O
1.068 -1.614 1.936 O
2.924 1.614 4.303 O
3.768 0.000 2.007 O
2.924 -1.614 4.303 O

[3]
K2PmNiO4 | Alexandria | GGA+U | optimized geometry; density = 3.9 g/cm³; SG = No. 82; final energy = -43.26 eV for the cell shown; DOS(E_F) = 0.00 states/eV per cell
1.0
-2.979 2.979 4.175
2.979 -2.979 4.175
2.979 2.979 -4.175
K Pm Ni O
2 1 1 4
Cartesian
0.000 0.000 0.000 K
0.000 2.979 2.088 K
0.000 0.000 4.175 Pm
2.979 0.000 2.088 Ni
1.653 -0.937 3.025 O
2.042 1.326 1.150 O
1.326 3.917 -1.150 O
0.937 1.653 5.325 O

[4]
KPm2NiO5 | Alexandria | GGA+U | optimized geometry; density = 6.1 g/cm³; SG = No. 127; final energy = -116.88 eV for the cell shown
1.0
6.728 0.000 0.000
0.000 6.728 0.000
0.000 0.000 5.662
K Pm Ni O
2 4 2 10
Cartesian
0.000 0.000 0.000 K
3.364 3.364 0.000 K
1.197 2.167 2.831 Pm
2.167 5.531 2.831 Pm
4.561 1.197 2.831 Pm
5.531 4.561 2.831 Pm
0.000 3.364 0.000 Ni
3.364 0.000 0.000 Ni
0.000 0.000 2.831 O
0.875 4.239 1.368 O
0.875 4.239 4.295 O
2.489 0.875 1.368 O
2.489 0.875 4.295 O
3.364 3.364 2.831 O
4.239 5.854 1.368 O
4.239 5.854 4.295 O
5.854 2.489 1.368 O
5.854 2.489 4.295 O

[5]
KNiPt2O | Alexandria | GGA+U | optimized geometry; density = 9.4 g/cm³; SG = No. 123; final energy = -17.76 eV for the cell shown; DOS(E_F) = 5.23 states/eV per cell
1.0
5.077 0.000 0.000
0.000 5.077 0.000
0.000 0.000 3.458
K Ni Pt O
1 1 2 1
Cartesian
0.000 0.000 0.000 K
2.539 2.539 1.729 Ni
0.000 2.539 1.729 Pt
2.539 0.000 1.729 Pt
2.539 2.539 0.000 O

[6]
K3Ni2PtO6 | Alexandria | GGA+U | optimized geometry; density = 5.6 g/cm³; SG = No. 12; final energy = -56.93 eV for the cell shown; DOS(E_F) = 5.28 states/eV per cell
1.0
2.761 -4.783 0.000
2.761 4.783 0.000
-1.838 0.000 5.887
K Ni Pt O
3 2 1 6
Cartesian
0.000 0.000 0.000 K
2.761 1.631 0.000 K
2.761 -1.631 0.000 K
1.842 3.191 2.943 Ni
1.842 -3.191 2.943 Ni
1.842 0.000 2.943 Pt
0.951 1.540 1.924 O
0.066 0.000 3.973 O
0.951 -1.540 1.924 O
2.733 1.540 3.963 O
3.618 0.000 1.913 O
2.733 -1.540 3.963 O

[7]
K2NiPtO4 | Alexandria | GGA+U | optimized geometry; density = 3.8 g/cm³; SG = No. 70; final energy = -75.55 eV for the cell shown; DOS(E_F) = 5.75 states/eV per cell
1.0
0.000 6.760 9.005
2.856 0.000 9.005
2.856 6.760 0.000
K Ni Pt O
4 2 2 8
Cartesian
2.142 5.070 0.804 K
3.570 8.451 5.306 K
2.142 5.070 12.704 K
3.570 8.451 17.206 K
0.714 1.690 2.251 Ni
4.999 11.831 15.759 Ni
2.142 5.070 6.754 Pt
3.570 8.451 11.256 Pt
3.643 3.806 6.742 O
3.643 6.334 6.766 O
5.071 7.186 11.268 O
5.071 9.715 11.244 O
0.642 3.806 6.766 O
0.642 6.334 6.742 O
2.070 7.186 11.244 O
2.070 9.715 11.268 O

[8]
K2PuNiO4 | Alexandria | GGA+U | optimized geometry; density = 5.9 g/cm³; SG = No. 10; final energy = -53.17 eV for the cell shown; DOS(E_F) = 3.91 states/eV per cell
1.0
6.192 0.000 0.000
0.000 3.282 0.000
-2.722 0.000 6.171
K Pu Ni O
2 1 1 4
Cartesian
0.000 0.000 0.000 K
3.096 1.641 0.000 K
-1.361 1.641 3.086 Pu
1.735 0.000 3.086 Ni
-0.804 0.000 4.443 O
0.758 1.641 2.213 O
2.712 1.641 3.959 O
4.274 0.000 1.729 O